CsPbO2: optimized geometry, PBE.

The structure in extended XYZ format:
```
8
Lattice="6.764 0.000 0.000 0.000 3.679 0.000 -1.142 0.000 7.745" Properties=species:S:1:pos:R:3 pbc="T T T"
Cs 1.063 0.920 2.721
Cs 4.560 2.759 5.024
Pb 1.222 0.920 6.661
Pb 4.400 2.759 1.083
O 1.082 2.759 5.275
O 2.227 2.759 0.530
O 3.395 0.920 7.215
O 4.540 0.920 2.470
```

Output
Formation energy from raw total energies = -1.0499 eV per atom
V = 192.7 Å³ per cell
Density = 6.41 Mg/m³
Symmetry = P2_1/m